Material: Mn2CrPbO6
Method: DFT, PBE+U
State: relaxed

Computed properties:
- theoretical density (g cm⁻³) = 6.49
- energy (hartree per atom) = -0.25917

a = 5.3096 Å, b = 5.3091 Å, c = 5.7592 Å
α = 90.00°, β = 117.44°, γ = 120.01°
Each line ends with the local moment (μB).
Positions (direct):
Mn1 0.5733 0.7861 0.3455  4.49
Mn2 0.6171 0.3080 0.9111  3.49
Cr1 0.9846 0.9918 0.9623  2.95
Pb1 0.0426 0.5208 0.5493  -0.14
O1 0.5604 0.9766 0.6965  -0.19
O2 0.4676 0.0813 0.1482  -0.12
O3 0.7771 0.6946 0.1483  -0.12
O4 0.0809 0.3853 0.1483  -0.12
O5 0.7340 0.5828 0.6965  -0.19
O6 0.1279 0.1503 0.6965  -0.19